This record from Alexandria describes crystalline Hf6AlC at its relaxed geometry. The functional is GGA-PBE.

The volume is 19.72 Å³/atom. The density of states at the Fermi level comes out at 0.992 states/eV/atom. As for the energy of formation: -0.27 eV per atom. Its magnetization is 0.0 μB/cell. The value obtained for the electronic total energy is -9.357 eV/atom.

Cell lengths 5.5010, 5.5010, 5.5010 Å; angles 100.06, 100.06, 100.06 degrees
Last column: nearest neighbours and their distance in Å.
Element x y z (fractional)
1 Hf 0.0821 0.7667 0.6585  1 C 2.24
2 Hf 0.2333 0.3415 0.9179  1 C 2.24
3 Hf 0.3415 0.9179 0.2333  1 C 2.24
4 Hf 0.6585 0.0821 0.7667  1 C 2.24
5 Hf 0.7667 0.6585 0.0821  1 C 2.24
6 Hf 0.9179 0.2333 0.3415  1 C 2.24
7 Al 0.5000 0.5000 0.5000  12 Hf 3.10-3.18
8 C 0.0000 0.0000 0.0000  6 Hf 2.24